<one>
# Nd2Pa2S7

Nd2Pa2S7 after structural relaxation (PBE, Alexandria).

Results
Spin magnetization: 1.8 μB per formula unit
Calculated volume: 246 Å³ per cell
SG: Imm2 (44)

Unit cell a=3.979 b=8.588 c=8.588 alpha=60.67 beta=76.61 gamma=76.61
Positions (direct):
Nd1 0.739 0.845 0.677
Nd2 0.261 0.323 0.155
Pa1 0.000 0.787 0.213
Pa2 0.500 0.338 0.662
S1 0.820 0.064 0.297
S2 0.870 0.412 0.848
S3 0.500 0.012 0.988
S4 0.606 0.503 0.285
S5 0.394 0.715 0.497
S6 0.180 0.703 0.936
S7 0.130 0.152 0.588

=====

<two>
# Nd2Pa2S7

Nd2Pa2S7 after structural relaxation (PBE, Alexandria).

Results
Spin magnetization: 1.9 μB per formula unit
Calculated volume: 287 Å³ per cell
SG: P-4m2 (115)

Unit cell a=4.647 b=4.647 c=13.270 alpha=90.00 beta=90.00 gamma=90.00
Positions (direct):
Nd1 0.500 0.000 0.860
Nd2 0.000 0.500 0.140
Pa1 0.500 0.000 0.378
Pa2 0.000 0.500 0.622
S1 0.500 0.500 0.000
S2 0.000 0.000 0.247
S3 0.500 0.500 0.263
S4 0.000 0.000 0.500
S5 0.500 0.500 0.500
S6 0.000 0.000 0.753
S7 0.500 0.500 0.737

=====

It is <one> that is the most stable of them.